Entry 1:
## EuUBr2 (GGA-PBE)

Data for EuUBr2 after structural relaxation.

Cell: 3.6510 3.6510 10.5255 Å, 80.01 80.01 60.00°
Element x y z (fractional)
Br (0.0958, 0.0958, 0.7127)
Br (0.9042, 0.9042, 0.2873)
Eu (0.5000, 0.5000, 0.5000)
U (0.0000, 0.0000, 0.0000)

## Properties
As for the density of states at the Fermi level: 6.195 states/eV/f.u. Its crystal system is trigonal. The calculation puts the uncorrected formation energy at -0.6791 eV per atom. Its total DFT energy (no corrections) is -6.91 eV/atom.

Entry 2:
## NaScAl2Cl (GGA-PBE)

Data for NaScAl2Cl after structural relaxation.

Cell: 5.0778 4.7292 5.0778 Å, 90.00 90.00 90.00°
Element x y z (fractional)
Al (0.0000, 0.0000, 0.5000)
Sc (0.5000, 0.5000, 0.5000)
Na (0.0000, 0.5000, 0.0000)
Al (0.5000, 0.0000, 0.0000)
Cl (0.0000, 0.0000, 0.0000)

## Properties
As for the density of states at the Fermi level: 3.064 states/eV/f.u. Its crystal system is tetragonal. The calculation puts the uncorrected formation energy at 0.1890 eV per atom. Its total DFT energy (no corrections) is -3.21 eV/atom. The energy above the most stable polymorph in this dataset comes out at 0.000 eV/atom.